Record 1
{
  "formula": "KBeSb2",
  "functional": "PBE",
  "state": "relaxed",
  "lattice_angstrom": [[2.0958, 1.2100, 7.5823], [-2.0958, 1.2100, 7.5823], [0.0000, -2.4200, 7.5823]],
  "species": ["K", "Be", "Sb", "Sb"],
  "fractional_positions": [[0.0000, 0.0000, 0.0000], [0.1696, 0.1696, 0.1696], [0.5500, 0.5500, 0.5500], [0.7875, 0.7875, 0.7875]],
  "final_energy_ev_per_atom": -3.16,
  "formation_energy_uncorrected_ev_per_atom": 0.1087,
  "volume_a3_per_atom": 28.84
}

***

Record 2
{
  "formula": "KBe2Sb",
  "functional": "PBE",
  "state": "relaxed",
  "lattice_angstrom": [[-2.0255, 3.1782, 4.1037], [2.0255, -3.1782, 4.1037], [2.0255, 3.1782, -4.1037]],
  "species": ["K", "Be", "Be", "Sb"],
  "fractional_positions": [[0.0000, 0.0000, 0.0000], [0.3354, 0.8354, 0.5000], [0.6646, 0.1646, 0.5000], [0.5000, 0.5000, 0.0000]],
  "final_energy_ev_per_atom": -2.44,
  "formation_energy_uncorrected_ev_per_atom": 0.7252,
  "volume_a3_per_atom": 26.42
}

***

Record 3
{
  "formula": "KBeSb",
  "functional": "PBE",
  "state": "relaxed",
  "lattice_angstrom": [[7.8665, 0.0000, 0.0000], [0.0000, 4.1109, 0.0000], [0.0000, 0.0000, 12.6097]],
  "species": ["K", "K", "K", "K", "Be", "Be", "Be", "Be", "Sb", "Sb", "Sb", "Sb"],
  "fractional_positions": [[0.1427, 0.2500, 0.1405], [0.3573, 0.7500, 0.6405], [0.6427, 0.2500, 0.3595], [0.8573, 0.7500, 0.8595], [0.0470, 0.7500, 0.4654], [0.4530, 0.2500, 0.9654], [0.5470, 0.7500, 0.0346], [0.9530, 0.2500, 0.5346], [0.1994, 0.2500, 0.4165], [0.3006, 0.7500, 0.9165], [0.6994, 0.2500, 0.0835], [0.8006, 0.7500, 0.5835]],
  "final_energy_ev_per_atom": -3.15,
  "formation_energy_uncorrected_ev_per_atom": -0.1636,
  "volume_a3_per_atom": 33.98
}

***

Record 4
{
  "formula": "KBeSb2",
  "functional": "PBE",
  "state": "relaxed",
  "lattice_angstrom": [[3.6642, 0.0000, 0.0000], [0.0000, 3.6642, 0.0000], [0.0000, 0.0000, 7.6941]],
  "species": ["K", "Be", "Sb", "Sb"],
  "fractional_positions": [[0.0000, 0.0000, 0.0000], [0.0000, 0.0000, 0.5000], [0.5000, 0.5000, 0.3216], [0.5000, 0.5000, 0.6784]],
  "final_energy_ev_per_atom": -3.08,
  "formation_energy_uncorrected_ev_per_atom": 0.1842,
  "volume_a3_per_atom": 25.83
}

***

Record 5
{
  "formula": "KBeSb2",
  "functional": "PBE",
  "state": "relaxed",
  "lattice_angstrom": [[3.2797, 0.0000, 0.0000], [0.0000, 3.9658, 0.0000], [-0.0117, 0.0000, 8.4790]],
  "species": ["K", "Be", "Sb", "Sb"],
  "fractional_positions": [[0.0000, 0.0000, 0.0000], [0.5000, 0.0000, 0.5000], [0.4994, 0.5000, 0.3123], [0.5006, 0.5000, 0.6877]],
  "final_energy_ev_per_atom": -3.17,
  "formation_energy_uncorrected_ev_per_atom": 0.0992,
  "volume_a3_per_atom": 27.57
}

***

Record 6
{
  "formula": "KBeSb2",
  "functional": "PBE",
  "state": "relaxed",
  "lattice_angstrom": [[5.4874, -1.9451, 0.0000], [5.4874, 1.9451, 0.0000], [-2.0279, 0.0000, 5.9367]],
  "species": ["K", "Be", "Sb", "Sb"],
  "fractional_positions": [[0.0000, 0.0000, 0.0000], [0.7938, 0.7938, 0.4816], [0.1928, 0.1928, 0.6074], [0.4269, 0.4269, 0.4374]],
  "final_energy_ev_per_atom": -3.21,
  "formation_energy_uncorrected_ev_per_atom": 0.0543,
  "volume_a3_per_atom": 31.68
}